12
Lattice="-2.243 -5.977 4.661 6.992 -3.508 -1.134 3.682 4.783 7.905" Properties=species:S:1:pos:R:3 comment="GGA-PBE ZnAgI4, relaxed" space_group="P4_2/mmc, No. 131" e_form_raw_kj_per_mol_fu=-139 pbc="T T T"
I 1.260 -2.345 0.832
I 1.862 -2.893 7.139
I 5.482 -4.709 6.552
I 2.950 0.006 4.879
I 0.099 -5.439 3.245
I 3.489 -7.140 2.695
I 4.650 -4.046 0.282
I 6.569 -1.810 4.292
Zn 0.720 -0.597 6.283
Zn 3.496 -1.754 -0.567
Ag 0.000 0.000 0.000
Ag 1.841 2.391 3.952

=====

5
Lattice="-3.934 3.321 2.300 1.542 -1.733 5.140 2.487 2.808 0.200" Properties=species:S:1:pos:R:3 comment="GGA-PBE LiOsI2N, relaxed" relative_energy_ev_per_atom=0.000 space_group="P4/mmm, No. 123" e_form_raw_kj_per_mol_fu=35 pbc="T T T"
I -1.967 1.660 1.150
I 0.771 -0.867 2.570
N 1.244 1.404 0.100
Os 0.000 0.000 0.000
Li 0.048 2.198 3.820

=====

4
Lattice="1.994 0.000 7.856 -0.997 1.727 7.856 -0.997 -1.727 7.856" Properties=species:S:1:pos:R:3 comment="GGA-PBE ScTcS2, relaxed" relative_energy_ev_per_atom=0.378 space_group="R-3m, No. 166" e_form_raw_kj_per_mol_fu=-151 pbc="T T T"
Tc 0.000 0.000 11.783
Sc 0.000 0.000 0.000
S 0.000 0.000 2.529
S 0.000 0.000 21.038

=====

4
Lattice="-1.625 1.243 -3.948 -3.803 -1.756 -1.492 -4.721 4.001 0.699" Properties=species:S:1:pos:R:3 comment="GGA-PBE SmSc2Rh, relaxed" relative_energy_ev_per_atom=0.242 space_group="R-3m, No. 166" ef_ev_per_atom=-0.26 pbc="T T T"
Sc -2.221 0.418 -1.458
Sc -7.929 3.069 -3.282
Rh 0.000 0.000 0.000
Sm -5.075 1.744 -2.370

=====

5
Lattice="5.108 0.000 0.000 0.000 5.108 0.000 0.000 0.000 5.108" Properties=species:S:1:pos:R:3 comment="GGA-PBE MgTl3Co, relaxed" space_group="Pm-3m, No. 221" ef_ev_per_atom=0.25 pbc="T T T"
Tl 0.000 2.554 0.000
Tl 0.000 0.000 2.554
Tl 2.554 0.000 0.000
Co 0.000 0.000 0.000
Mg 2.554 2.554 2.554

=====

11
Lattice="-4.437 -0.749 -4.997 -6.803 -7.485 0.487 -9.755 -1.562 2.221" Properties=species:S:1:pos:R:3 comment="GGA-PBE Tb2Nd8Sc, relaxed" relative_energy_ev_per_atom=0.057 space_group="C2/m, No. 12" ef_ev_per_atom=0.17 pbc="T T T"
Nd -9.908 -6.850 0.015
Nd -9.662 -5.804 -3.140
Nd -11.333 -3.992 0.851
Nd -13.195 -6.943 1.248
Nd -7.801 -2.853 -3.537
Nd -7.880 -3.845 -0.285
Nd -13.115 -5.951 -2.005
Nd -11.087 -2.946 -2.304
Tb -5.020 -2.001 -1.712
Tb -15.976 -7.796 -0.577
Sc 0.000 0.000 0.000

=====

3
Lattice="5.144 0.000 0.000 2.572 4.455 0.000 2.572 1.485 4.200" Properties=species:S:1:pos:R:3 comment="GGA-PBE PmYSb, relaxed" relative_energy_ev_per_atom=0.240 space_group="F-43m, No. 216" e_form_raw_kj_per_mol_fu=-177 pbc="T T T"
Sb 2.572 1.485 1.050
Pm 5.144 2.970 2.100
Y 0.000 0.000 0.000

=====

5
Lattice="4.211 0.000 0.000 0.000 4.211 0.000 0.000 0.000 4.211" Properties=species:S:1:pos:R:3 comment="GGA-PBE BMo3S, relaxed" relative_energy_ev_per_atom=0.000 space_group="Pm-3m, No. 221" e_form_raw_kj_per_mol_fu=316 pbc="T T T"
Mo 2.105 0.000 0.000
Mo 0.000 2.105 0.000
Mo 0.000 0.000 2.105
B 0.000 0.000 0.000
S 2.105 2.105 2.105

=====

9
Lattice="5.526 -0.386 0.504 0.199 5.958 2.398 -0.512 0.929 6.337" Properties=species:S:1:pos:R:3 comment="GGA-PBE La2AlAu6, relaxed" space_group="P-3m1, No. 164" ef_ev_per_atom=-0.69 pbc="T T T"
Au 1.718 3.875 2.828
Au 1.389 1.546 4.653
Au 3.496 2.626 6.411
Au 3.587 5.388 7.525
Au 3.825 4.955 4.587
Au 1.627 1.113 1.714
Al 0.000 0.000 0.000
La 0.763 4.524 5.914
La 4.450 1.977 3.326

=====

10
Lattice="-1.497 2.324 -4.681 5.209 -2.048 -2.683 -3.861 -6.931 -2.206" Properties=species:S:1:pos:R:3 comment="GGA-PBE Dy3HgPt, relaxed" relative_energy_ev_per_atom=0.069 space_group="Pmma, No. 51" ef_ev_per_atom=-0.61 pbc="T T T"
Dy -3.110 -5.232 -4.760
Dy 0.582 -6.812 -3.569
Dy 2.327 -1.172 -4.483
Dy 2.213 -4.226 -5.963
Dy 0.133 -1.918 -0.995
Dy -0.392 -3.202 -4.622
Pt -0.245 -5.788 -5.952
Pt -0.539 -0.616 -3.290
Hg 2.139 -4.015 -2.678
Hg -1.425 -4.714 -1.885

=====

4
Lattice="-0.344 4.254 -1.988 -2.903 0.182 -3.702 -0.322 -1.650 4.398" Properties=species:S:1:pos:R:3 comment="GGA-PBE LiReSi2, relaxed" relative_energy_ev_per_atom=0.130 space_group="I-4m2, No. 119" e_form_raw_kj_per_mol_fu=-7 pbc="T T T"
Si -2.424 0.375 -1.075
Si 0.000 0.000 0.000
Re -1.145 2.411 -0.217
Li -1.624 2.218 -2.845

=====

6
Lattice="5.353 0.000 0.000 2.677 4.859 0.000 2.677 0.000 4.640" Properties=species:S:1:pos:R:3 comment="GGA-PBE ZrNbAg, relaxed" relative_energy_ev_per_atom=0.334 space_group="Fmmm, No. 69" ef_ev_per_atom=0.25 pbc="T T T"
Nb 5.353 1.289 0.000
Nb 2.677 3.569 0.000
Ag 4.015 2.429 2.320
Ag 6.691 2.429 2.320
Zr 5.353 0.000 3.192
Zr 2.677 0.000 1.448

=====

14
Lattice="9.112 0.000 0.000 -3.037 8.591 0.000 -3.037 -4.295 7.440" Properties=species:S:1:pos:R:3 comment="GGA-PBE Ac4Nd3, relaxed" relative_energy_ev_per_atom=0.260 space_group="I-43d, No. 220" ef_ev_per_atom=0.29 pbc="T T T"
Nd 0.759 -2.148 5.580
Nd -0.759 2.148 1.860
Nd 3.797 3.759 2.790
Nd -0.759 6.980 0.930
Nd 0.759 2.685 6.510
Nd 5.315 -0.537 4.650
Ac 5.026 0.664 1.150
Ac 6.184 4.295 0.000
Ac -1.049 -1.483 2.569
Ac 1.988 0.819 3.720
Ac -2.568 2.812 4.870
Ac -2.568 -3.631 6.289
Ac 1.628 4.295 0.000
Ac 0.470 5.115 3.720

=====

19
Lattice="9.659 0.873 3.331 3.538 8.281 3.890 2.322 0.223 9.528" Properties=species:S:1:pos:R:3 comment="GGA-PBE Th2In5Cl12, relaxed" space_group="C2/m, No. 12" e_form_raw_kj_per_mol_fu=-2634 pbc="T T T"
Cl 5.030 2.060 9.380
Cl 10.489 7.317 7.369
Cl 11.264 4.778 9.260
Cl 6.301 7.577 12.189
Cl 4.254 4.598 7.490
Cl 9.218 1.800 4.561
Cl 9.742 2.365 10.833
Cl 11.520 8.103 10.821
Cl 5.777 7.011 5.916
Cl 4.452 4.276 3.827
Cl 3.999 1.273 5.928
Cl 11.066 5.100 12.922
In 2.459 1.902 3.249
In 13.060 7.474 13.500
In 9.110 6.204 10.832
In 6.409 3.173 5.917
In 4.829 0.436 1.665
Th 3.240 6.309 5.270
Th 2.619 2.195 8.149

=====

4
Lattice="4.494 -0.004 0.043 3.120 3.235 0.043 1.065 0.452 7.192" Properties=species:S:1:pos:R:3 comment="GGA-PBE SiTe2W, relaxed" space_group="Cm, No. 8" e_form_raw_kj_per_mol_fu=54 pbc="T T T"
Si 2.007 0.851 2.480
Te 6.576 2.790 4.699
Te 0.212 0.090 0.765
W 4.224 1.792 2.972

=====

11
Lattice="-1.806 3.255 0.208 -3.217 -3.303 -9.688 -8.298 -6.776 0.584" Properties=species:S:1:pos:R:3 comment="GGA-PBE Ac2Nd2Dy7, relaxed" space_group="Immm, No. 71" ef_ev_per_atom=0.13 pbc="T T T"
Nd -5.382 -2.538 -7.033
Nd -7.938 -4.286 -1.864
Dy -6.807 -5.374 -8.444
Dy -4.140 0.172 -5.249
Dy -8.120 -4.163 -5.425
Dy -6.513 -1.450 -0.453
Dy -5.200 -2.661 -3.472
Dy 0.000 0.000 0.000
Dy -9.180 -6.996 -3.648
Ac -9.846 -7.136 -7.283
Ac -3.474 0.312 -1.613

=====

9
Lattice="5.070 0.000 0.000 0.000 7.310 0.000 -2.535 -3.655 6.865" Properties=species:S:1:pos:R:3 comment="GGA-PBE CsSm2US5, relaxed" space_group="Immm, No. 71" e_form_raw_kj_per_mol_fu=-1441 pbc="T T T"
S 2.535 5.612 2.117
S 0.000 1.957 4.748
S 0.000 0.000 0.000
S 2.535 1.698 2.117
S 0.000 -1.957 4.748
Cs 0.000 3.655 0.000
Sm 2.535 3.655 4.047
Sm 0.000 0.000 2.818
U 2.535 0.000 0.000

=====

5
Lattice="4.361 0.000 0.000 0.000 4.361 0.000 0.000 0.000 4.361" Properties=species:S:1:pos:R:3 comment="GGA-PBE CoRh3Cl, relaxed" relative_energy_ev_per_atom=0.000 space_group="Pm-3m, No. 221" e_form_raw_kj_per_mol_fu=489 pbc="T T T"
Co 2.181 2.181 2.181
Rh 0.000 0.000 2.181
Rh 2.181 0.000 0.000
Rh 0.000 2.181 0.000
Cl 0.000 0.000 0.000

=====

6
Lattice="6.617 -2.429 2.872 5.083 5.021 2.622 1.325 0.523 7.477" Properties=species:S:1:pos:R:3 comment="GGA-PBE Sr4HgBr, relaxed" space_group="F-43m, No. 216" e_form_raw_kj_per_mol_fu=31 pbc="T T T"
Sr 8.200 -0.054 6.299
Sr 5.542 1.429 8.612
Sr 4.877 1.166 4.856
Sr 7.430 3.689 6.173
Hg 0.000 0.000 0.000
Br 9.768 2.336 9.728

=====

5
Lattice="-1.895 0.781 3.070 2.725 -1.422 2.044 1.615 3.315 0.153" Properties=species:S:1:pos:R:3 comment="GGA-PBE LiNdH3, relaxed" relative_energy_ev_per_atom=0.056 space_group="Pm-3m, No. 221" pbc="T T T"
H 0.808 1.658 0.077
H -0.948 0.391 1.535
H 1.362 -0.711 1.022
Nd 1.223 1.337 2.634
Li 0.000 0.000 0.000

=====

| no. | volume (A^3/atom) |
| --- | --- |
| 1 | 51.790 |
| 2 | 23.887 |
| 3 | 20.290 |
| 4 | 24.288 |
| 5 | 26.653 |
| 6 | 34.030 |
| 7 | 32.091 |
| 8 | 14.930 |
| 9 | 22.103 |
| 10 | 27.786 |
| 11 | 12.894 |
| 12 | 20.115 |
| 13 | 41.600 |
| 14 | 35.302 |
| 15 | 26.122 |
| 16 | 35.332 |
| 17 | 28.269 |
| 18 | 16.589 |
| 19 | 51.960 |
| 20 | 10.060 |